1) Ca2Tl6Hg | PBE | relaxed

Lattice parameters (Å, degrees): 4.620 8.176 7.707 108.06 107.44 90.00
Sites, in units of the cell vectors:
Ca 0.946 0.196 0.892
Ca 0.054 0.804 0.108
Tl 0.387 0.841 0.774
Tl 0.613 0.159 0.226
Tl 0.728 0.837 0.455
Tl 0.168 0.499 0.335
Tl 0.272 0.163 0.545
Tl 0.832 0.501 0.665
Hg 0.500 0.500 0.000

Calculated values
M_tot   0.00 μB/f.u.
Symmetry   C2/m (12)
Calculated volume   29.2 Å³/atom

***

2) Ca2Tl6Hg | PBE | relaxed

Lattice parameters (Å, degrees): 3.590 8.937 9.551 117.89 89.87 90.00
Sites, in units of the cell vectors:
Ca 0.501 0.688 0.376
Ca 0.499 0.312 0.624
Tl 0.001 0.340 0.319
Tl 0.999 0.022 0.681
Tl 0.999 0.660 0.681
Tl 0.500 0.319 0.000
Tl 0.001 0.978 0.319
Tl 0.500 0.681 0.000
Hg 0.000 0.000 0.000

Calculated values
M_tot   0.00 μB/f.u.
Symmetry   C2/m (12)
Calculated volume   30.1 Å³/atom

***

Stability order, top to bottom: 1), 2)

***

1) CaTl4Hg7 | PBE | relaxed

Lattice parameters (Å, degrees): 5.320 5.320 13.595 90.00 90.00 120.00
Sites, in units of the cell vectors:
Ca 0.000 0.000 0.500
Tl 0.333 0.667 0.910
Tl 0.667 0.333 0.090
Tl 0.333 0.667 0.647
Tl 0.667 0.333 0.353
Hg 0.000 0.000 0.000
Hg 0.333 0.667 0.407
Hg 0.667 0.333 0.593
Hg 0.333 0.667 0.168
Hg 0.667 0.333 0.832
Hg 0.000 0.000 0.751
Hg 0.000 0.000 0.249

Calculated values
M_tot   0.00 μB/f.u.
Symmetry   P-3m1 (164)
Calculated volume   27.8 Å³/atom

***

2) CaTl4Hg7 | PBE | relaxed

Lattice parameters (Å, degrees): 6.373 9.200 7.336 71.30 64.26 69.74
Sites, in units of the cell vectors:
Ca 0.000 0.000 0.000
Tl 0.501 0.332 0.667
Tl 0.499 0.668 0.333
Tl 0.754 0.668 0.823
Tl 0.246 0.332 0.177
Hg 0.753 0.002 0.491
Hg 0.247 0.998 0.509
Hg 0.001 0.667 0.332
Hg 0.999 0.333 0.668
Hg 0.247 0.668 0.838
Hg 0.500 0.000 0.000
Hg 0.753 0.332 0.162

Calculated values
M_tot   0.00 μB/f.u.
Symmetry   C2/m (12)
Calculated volume   29.7 Å³/atom

***

Stability order, top to bottom: 1), 2)